An optimized crystal structure of Pa2Ga8Rh, computed with GGA-PBE.

Cell: 4.3346 4.3346 11.1499 Å, 90.00 90.00 90.00°
Fractional positions:
Ga: 0.5000 0.5000 0.6920
Ga: 0.5000 0.0000 0.8774
Ga: 0.5000 0.0000 0.1226
Ga: 0.5000 0.5000 0.3080
Ga: 0.0000 0.5000 0.8774
Ga: 0.0000 0.5000 0.1226
Ga: 0.0000 0.5000 0.5000
Ga: 0.5000 0.0000 0.5000
Rh: 0.0000 0.0000 0.0000
Pa: 0.0000 0.0000 0.3086
Pa: 0.0000 0.0000 0.6914

- energy of formation from the pure elements (eV per atom) = -0.48
- space-group type = P4/mmm
- mass density (Mg/m³) = 8.90